Entry from the Alexandria database: an optimized crystal structure of MnSiSe (PBE).

The structure belongs to space group P3m1 (No. 156); the cell edges are 3.1862, 3.1862 and 5.3260 Å and the angles 90.00°, 90.00° and 120.00°. Symmetry generates all atoms from Mn at (0.0000, 0.0000, 0.0000), Si at (0.3333, 0.6667, 0.7038) and Se at (0.6667, 0.3333, 0.3033).

The calculation puts the total moment at 2.05 μB/f.u. The calculation puts the formation energy (no corrections) at 0.119 eV per formula unit.

---

Entry from the Alexandria database: an optimized crystal structure of MnSi2Se (PBE).

The structure belongs to space group R-3m (No. 166, hexagonal axes); the cell edges are 3.0770, 3.0770 and 21.6619 Å and the angles 90.00°, 90.00° and 120.00°. Symmetry generates all atoms from Mn at (0.0000, 0.0000, 0.0000), Si at (0.0000, 0.0000, 0.2599) and Se at (0.0000, 0.0000, 0.5000).

The calculation puts the total moment at 1.30 μB/f.u. The calculation puts the formation energy (no corrections) at 0.756 eV per formula unit.

---

Entry from the Alexandria database: an optimized crystal structure of MnSiSe (PBE).

The structure belongs to space group I4mm (No. 107); the cell edges are 3.110, 3.110 and 10.253 Å and the angles 90.00°, 90.00° and 90.00°. Symmetry generates all atoms from Mn at (0.000, 0.000, 0.000), Si at (0.000, 0.000, 0.629) and Se at (0.000, 0.000, 0.371).

The calculation puts the total moment at 2.62 μB/f.u. The calculation puts the formation energy (no corrections) at 0.472 eV per formula unit.

---

Entry from the Alexandria database: an optimized crystal structure of MnSi2Se (PBE).

The structure belongs to space group I-42d (No. 122); the cell edges are 5.738, 5.738 and 10.569 Å and the angles 90.00°, 90.00° and 90.00°. Symmetry generates all atoms from Mn at (0.000, 0.000, 0.000), Si at (0.223, 0.250, 0.125) and Se at (0.000, 0.000, 0.500).

The calculation puts the total moment at 2.81 μB/f.u. The calculation puts the formation energy (no corrections) at 1.723 eV per formula unit.

---

Entry from the Alexandria database: an optimized crystal structure of MnSiSe2 (PBE).

The structure belongs to space group C2/m (No. 12); the cell edges are 6.635, 3.826 and 6.672 Å and the angles 90.00°, 109.44° and 90.00°. Symmetry generates all atoms from Mn at (0.000, 0.000, 0.000), Si at (0.000, 0.500, 0.500) and Se at (0.249, 0.500, 0.248).

The calculation puts the total moment at 4.73 μB/f.u. The calculation puts the formation energy (no corrections) at -0.487 eV per formula unit.

---

Entry from the Alexandria database: an optimized crystal structure of MnSiSe2 (PBE).

The structure belongs to space group Imm2 (No. 44); the cell edges are 3.356, 3.544 and 15.253 Å and the angles 90.00°, 90.00° and 90.00°. Symmetry generates all atoms from Mn at (0.000, 0.000, 0.000), Si at (0.000, 0.500, 0.360), Se at (0.000, 0.000, 0.557) and Se at (0.000, 0.500, 0.806).

The calculation puts the total moment at 4.08 μB/f.u. The calculation puts the formation energy (no corrections) at -0.047 eV per formula unit.

---

Entry from the Alexandria database: an optimized crystal structure of MnSiSe2 (PBE).

The structure belongs to space group C2/m (No. 12); the cell edges are 7.278, 7.236 and 3.869 Å and the angles 90.00°, 117.47° and 90.00°. Symmetry generates all atoms from Mn at (0.000, 0.000, 0.000), Si at (0.000, 0.500, 0.000) and Se at (0.250, 0.250, 0.000).

The calculation puts the total moment at 4.44 μB/f.u. The calculation puts the formation energy (no corrections) at 0.573 eV per formula unit.

---

Entry from the Alexandria database: an optimized crystal structure of MnSiSe2 (PBE).

The structure belongs to space group F-43m (No. 216); the cell edges are 6.570, 6.570 and 6.570 Å and the angles 90.00°, 90.00° and 90.00°. Symmetry generates all atoms from Mn at (0.000, 0.000, 0.000), Si at (0.250, 0.250, 0.250), Se at (0.000, 0.000, 0.500) and Se at (0.250, 0.250, 0.750).

The calculation puts the total moment at 3.21 μB/f.u. The calculation puts the formation energy (no corrections) at 2.277 eV per formula unit.